4
Lattice="-2.849 -3.387 5.831 1.463 -3.557 6.229 -0.669 0.063 7.290" Properties=species:S:1:pos:R:3 comment="Te2WO | Alexandria | PBE+U | relaxed" final_energy_ev_per_cell=-18.1 dos_at_fermi_per_ev_atom=0.51 sg=R-3m vol_a3_per_fu=111.9 pbc="T T T"
W -1.027 -3.441 9.675
O 0.000 0.000 0.000
Te -1.852 -6.203 17.441
Te -0.203 -0.679 1.908